No. 1
Below is Sc2Pt2W after structural relaxation, with properties calculated at the GGA-PBE level.

The structure in CIF format:
```
data_Sc2Pt2W
_space_group_name_H-M_alt 'P 4/m b m'
_space_group_IT_number 127
_space_group_name_Hall '-P 4 2ab'
_cell_length_a 6.700
_cell_length_b 6.700
_cell_length_c 4.221
_cell_angle_alpha 90.00
_cell_angle_beta 90.00
_cell_angle_gamma 90.00
loop_
_atom_site_label
_atom_site_fract_x
_atom_site_fract_y
_atom_site_fract_z
_atom_site_occupancy
Sc1 0.173 0.327 0.000 1
Pt1 0.140 0.640 0.500 1
W1 0.000 0.000 0.500 1
```

Output
Magnetization in μB/f.u.: 0.00
Energy relative to the elements in kJ/mol of formula units: -278

=====

No. 2
Below is ScPt4W after structural relaxation, with properties calculated at the GGA-PBE level.

The structure in CIF format:
```
data_ScPt4W
_space_group_name_H-M_alt 'F -4 3 m'
_space_group_IT_number 216
_space_group_name_Hall 'F -4 2 3'
_cell_length_a 7.418
_cell_length_b 7.418
_cell_length_c 7.418
_cell_angle_alpha 90.00
_cell_angle_beta 90.00
_cell_angle_gamma 90.00
loop_
_atom_site_label
_atom_site_fract_x
_atom_site_fract_y
_atom_site_fract_z
_atom_site_occupancy
Sc1 0.000 0.000 0.000 1
Pt1 0.125 0.125 0.375 1
W1 0.250 0.250 0.750 1
```

Output
Magnetization in μB/f.u.: 1.24
Energy relative to the elements in kJ/mol of formula units: -135

=====

No. 3
Below is ScPt2W after structural relaxation, with properties calculated at the GGA-PBE level.

The structure in CIF format:
```
data_ScPt2W
_space_group_name_H-M_alt 'P 4 m m'
_space_group_IT_number 99
_cell_length_a 3.353
_cell_length_b 3.353
_cell_length_c 6.065
_cell_angle_alpha 90.00
_cell_angle_beta 90.00
_cell_angle_gamma 90.00
loop_
_space_group_symop_operation_xyz
'x,y,z'
'-y,x,z'
'-x,-y,z'
'y,-x,z'
'-x,y,z'
'y,x,z'
'x,-y,z'
'-y,-x,z'
loop_
_atom_site_label
_atom_site_fract_x
_atom_site_fract_y
_atom_site_fract_z
_atom_site_occupancy
Sc1 0.000 0.000 0.000 1
Pt1 0.000 0.000 0.503 1
Pt2 0.500 0.500 0.771 1
W1 0.500 0.500 0.303 1
```

Output
Magnetization in μB/f.u.: 0.00
Energy relative to the elements in kJ/mol of formula units: -156

=====

No. 4
Below is ScPt2W after structural relaxation, with properties calculated at the GGA-PBE level.

The structure in CIF format:
```
data_ScPt2W
_space_group_name_H-M_alt 'P 4/m m m'
_space_group_IT_number 123
_space_group_name_Hall '-P 4 2'
_cell_length_a 2.846
_cell_length_b 2.846
_cell_length_c 8.086
_cell_angle_alpha 90.00
_cell_angle_beta 90.00
_cell_angle_gamma 90.00
loop_
_atom_site_label
_atom_site_fract_x
_atom_site_fract_y
_atom_site_fract_z
_atom_site_occupancy
Sc1 0.000 0.000 0.000 1
Pt1 0.500 0.500 0.258 1
W1 0.000 0.000 0.500 1
```

Output
Magnetization in μB/f.u.: 0.00
Energy relative to the elements in kJ/mol of formula units: -232

=====

What is the energy relative to the elements in the second record? -135 kJ/mol of formula units

=====

Which of these has the highest magnetization? ScPt4W

=====

Please write out number 1 again, unchanged.
Below is Sc2Pt2W after structural relaxation, with properties calculated at the GGA-PBE level.

The structure in CIF format:
```
data_Sc2Pt2W
_space_group_name_H-M_alt 'P 4/m b m'
_space_group_IT_number 127
_space_group_name_Hall '-P 4 2ab'
_cell_length_a 6.700
_cell_length_b 6.700
_cell_length_c 4.221
_cell_angle_alpha 90.00
_cell_angle_beta 90.00
_cell_angle_gamma 90.00
loop_
_atom_site_label
_atom_site_fract_x
_atom_site_fract_y
_atom_site_fract_z
_atom_site_occupancy
Sc1 0.173 0.327 0.000 1
Pt1 0.140 0.640 0.500 1
W1 0.000 0.000 0.500 1
```

Output
Magnetization in μB/f.u.: 0.00
Energy relative to the elements in kJ/mol of formula units: -278